This record from Alexandria describes a relaxed structure of Fe3Mo. The functional is PBE.

Calculated formation energy ... 0.11 eV/atom
DFT total energy ... -8.9440 eV per atom
DOS at the Fermi energy ... 18.30 states/eV per cell
Total magnetic moment ... 11.16 Bohr magnetons per cell

Cell lengths 3.6292, 3.6292, 14.4723 Å; angles 90.00, 90.00, 90.00 degrees
Last column: nearest neighbours and their distance in Å.
Space group I4/mmm (No. 139)
Unique sites:
1 Fe 0.0000 0.0000 0.1229 [4 per cell]  8 Fe 2.54-2.58, 4 Mo 2.57
2 Fe 0.0000 0.5000 0.0000 [4 per cell]  8 Fe 2.54-2.57, 4 Mo 2.56
3 Fe 0.0000 0.5000 0.2500 [4 per cell]  8 Fe 2.57-2.58, 4 Mo 2.57
4 Mo 0.0000 0.0000 0.3754 [4 per cell]  12 Fe 2.56-2.57


This record from Alexandria describes a relaxed structure of FeMo4. The functional is PBE.

Calculated formation energy ... 1.20 eV/atom
DFT total energy ... -9.1540 eV per atom
DOS at the Fermi energy ... 6.12 states/eV per cell
Total magnetic moment ... 0.00 Bohr magnetons per cell

Cell lengths 4.4162, 4.4162, 4.4162 Å; angles 90.00, 90.00, 90.00 degrees
Last column: nearest neighbours and their distance in Å.
Space group Pm-3m (No. 221)
Unique sites:
1 Fe 0.0000 0.0000 0.0000 [1 per cell]  6 Mo 2.21
2 Mo 0.0000 0.0000 0.5000 [3 per cell]  2 Fe 2.21
3 Mo 0.5000 0.5000 0.5000 [1 per cell]  12 Mo 3.12


This record from Alexandria describes a relaxed structure of FeMo5. The functional is PBE.

Calculated formation energy ... 0.43 eV/atom
DFT total energy ... -10.0087 eV per atom
DOS at the Fermi energy ... 26.33 states/eV per cell
Total magnetic moment ... 14.15 Bohr magnetons per cell

Cell lengths 7.3179, 7.3179, 7.3179 Å; angles 90.00, 90.00, 90.00 degrees
Last column: nearest neighbours and their distance in Å.
Space group F-43m (No. 216)
Unique sites:
1 Fe 0.0000 0.0000 0.0000 [4 per cell]  16 Mo 3.03-3.17
2 Mo 0.1255 0.1255 0.3745 [16 per cell]  6 Mo 2.58-2.60
3 Mo 0.2500 0.2500 0.7500 [4 per cell]  12 Mo 3.03, 4 Fe 3.17


This record from Alexandria describes a relaxed structure of FeMo3. The functional is PBE.

Calculated formation energy ... 0.10 eV/atom
DFT total energy ... -10.1405 eV per atom
DOS at the Fermi energy ... 3.25 states/eV per cell
Total magnetic moment ... 2.34 Bohr magnetons per cell

Cell lengths 2.6591, 4.4028, 5.1822 Å; angles 90.00, 99.52, 90.00 degrees
Last column: nearest neighbours and their distance in Å.
Space group P2/m (No. 10)
Unique sites:
1 Fe 0.0000 0.0000 0.0000 [1 per cell]  2 Fe 2.66, 6 Mo 2.69-2.71
2 Mo 0.2582 0.5000 0.7549 [2 per cell]  6 Mo 2.65-2.77, 2 Fe 2.69
3 Mo 0.5000 0.0000 0.5000 [1 per cell]  6 Mo 2.66-2.70, 2 Fe 2.71


This record from Alexandria describes a relaxed structure of FeMoN2. The functional is PBE.

Energy relative to the elements, uncorrected ... 0.2 eV/f.u.
DFT total energy ... -8.9277 eV per atom
DOS at the Fermi energy ... 8.23 states/eV per cell
Total magnetic moment ... 9.38 Bohr magnetons per cell

Cell lengths 2.9385, 2.9385, 18.4835 Å; angles 90.00, 90.00, 120.00 degrees
Last column: nearest neighbours and their distance in Å.
Space group R-3m (No. 166, hexagonal axes)
Unique sites:
1 Fe 0.0000 0.0000 0.0000 [3 per cell]  2 N 1.86
2 Mo 0.0000 0.0000 0.5000 [3 per cell]  6 N 2.09
3 N 0.0000 0.0000 0.1004 [6 per cell]  1 Fe 1.86


This record from Alexandria describes a relaxed structure of Fe4Mo2N. The functional is PBE.

Energy relative to the elements, uncorrected ... -0.5 eV/f.u.
DFT total energy ... -9.1850 eV per atom
DOS at the Fermi energy ... 56.74 states/eV per cell
Total magnetic moment ... 45.88 Bohr magnetons per cell

Cell lengths 7.7468, 7.7468, 10.8150 Å; angles 90.00, 90.00, 90.00 degrees
Last column: nearest neighbours and their distance in Å.
Space group I-4m2 (No. 119)
Unique sites:
1 Fe 0.0000 0.1612 0.0811 [8 per cell]  6 Fe 2.32-2.50
2 Fe 0.0000 0.2476 0.8758 [8 per cell]  6 Fe 2.32-2.38
3 Fe 0.0000 0.3354 0.6648 [8 per cell]  8 Fe 2.38-2.58, 1 Mo 2.62
4 Fe 0.1963 0.1963 0.5000 [8 per cell]  2 N 2.01
5 Mo 0.0000 0.0000 0.3076 [4 per cell]  2 N 2.07
6 Mo 0.0000 0.5000 0.0531 [4 per cell]  2 N 2.08
7 Mo 0.1978 0.3022 0.2500 [8 per cell]  2 N 2.15
8 N 0.0000 0.2461 0.3831 [8 per cell]  2 Fe 2.01, 4 Mo 2.07-2.15


This record from Alexandria describes a relaxed structure of Fe3Mo3N. The functional is PBE.

Energy relative to the elements, uncorrected ... -1.0 eV/f.u.
DFT total energy ... -9.6053 eV per atom
DOS at the Fermi energy ... 102.50 states/eV per cell
Total magnetic moment ... 14.02 Bohr magnetons per cell

Cell lengths 11.0326, 11.0326, 11.0326 Å; angles 90.00, 90.00, 90.00 degrees
Last column: nearest neighbours and their distance in Å.
Space group Fd-3m (No. 227, origin choice 2)
Unique sites:
1 Fe 0.0000 0.0000 0.0000 [16 per cell]  6 Fe 2.35
2 Fe 0.0479 0.0479 0.2021 [32 per cell]  6 Fe 2.35-2.40
3 Mo 0.0774 0.3750 0.8750 [48 per cell]  2 N 2.13
4 N 0.0000 0.0000 0.5000 [16 per cell]  6 Mo 2.13


This record from Alexandria describes a relaxed structure of FeMoN. The functional is PBE.

Energy relative to the elements, uncorrected ... 0.5 eV/f.u.
DFT total energy ... -9.0251 eV per atom
DOS at the Fermi energy ... 12.55 states/eV per cell
Total magnetic moment ... 8.92 Bohr magnetons per cell

Cell lengths 5.3669, 5.3669, 5.3669 Å; angles 90.00, 90.00, 90.00 degrees
Last column: nearest neighbours and their distance in Å.
Space group P2_13 (No. 198)
Unique sites:
1 Fe 0.1396 0.1396 0.1396 [4 per cell]  1 N 1.85
2 Mo 0.1527 0.3473 0.6527 [4 per cell]  3 N 1.96
3 N 0.1618 0.6618 0.8382 [4 per cell]  1 Fe 1.85, 3 Mo 1.96


This record from Alexandria describes a relaxed structure of FeMo2N. The functional is PBE.

Energy relative to the elements, uncorrected ... 1.5 eV/f.u.
DFT total energy ... -9.2368 eV per atom
DOS at the Fermi energy ... 13.33 states/eV per cell
Total magnetic moment ... 0.00 Bohr magnetons per cell

Cell lengths 4.8223, 4.8223, 10.2847 Å; angles 90.00, 90.00, 90.00 degrees
Last column: nearest neighbours and their distance in Å.
Space group I-42d (No. 122)
Unique sites:
1 Fe 0.0000 0.0000 0.0000 [4 per cell]  4 Mo 2.30
2 Mo 0.1946 0.2500 0.6250 [8 per cell]  2 N 2.00
3 N 0.0000 0.0000 0.5000 [4 per cell]  4 Mo 2.00


This record from Alexandria describes a relaxed structure of FeMoN2. The functional is PBE.

Energy relative to the elements, uncorrected ... -0.4 eV/f.u.
DFT total energy ... -9.0932 eV per atom
DOS at the Fermi energy ... 17.68 states/eV per cell
Total magnetic moment ... 0.00 Bohr magnetons per cell

Cell lengths 4.5110, 4.5110, 8.6695 Å; angles 90.00, 90.00, 90.00 degrees
Last column: nearest neighbours and their distance in Å.
Space group I-42d (No. 122)
Unique sites:
1 Fe 0.0000 0.0000 0.0000 [4 per cell]  4 N 1.87
2 Mo 0.0000 0.0000 0.5000 [4 per cell]  4 N 1.99
3 N 0.2259 0.2500 0.1250 [8 per cell]  2 Fe 1.87, 2 Mo 1.99


This record from Alexandria describes a relaxed structure of FeMoN2. The functional is PBE.

Energy relative to the elements, uncorrected ... 1.8 eV/f.u.
DFT total energy ... -8.5361 eV per atom
DOS at the Fermi energy ... 15.70 states/eV per cell
Total magnetic moment ... 8.01 Bohr magnetons per cell

Cell lengths 5.2412, 5.2412, 5.2412 Å; angles 90.00, 90.00, 90.00 degrees
Last column: nearest neighbours and their distance in Å.
Space group Fm-3m (No. 225)
Unique sites:
1 Fe 0.0000 0.0000 0.0000 [4 per cell]  8 N 2.27
2 Mo 0.0000 0.0000 0.5000 [4 per cell]  8 N 2.27
3 N 0.2500 0.2500 0.2500 [8 per cell]  4 Mo 2.27, 4 Fe 2.27


This record from Alexandria describes a relaxed structure of Fe2MoN. The functional is PBE.

Energy relative to the elements, uncorrected ... 1.5 eV/f.u.
DFT total energy ... -8.6355 eV per atom
DOS at the Fermi energy ... 20.52 states/eV per cell
Total magnetic moment ... 0.00 Bohr magnetons per cell

Cell lengths 5.0168, 5.0168, 8.0875 Å; angles 90.00, 90.00, 90.00 degrees
Last column: nearest neighbours and their distance in Å.
Space group I-42d (No. 122)
Unique sites:
1 Fe 0.1500 0.2500 0.1250 [8 per cell]  2 N 1.78
2 Mo 0.0000 0.0000 0.5000 [4 per cell]  4 Fe 2.38
3 N 0.0000 0.0000 0.0000 [4 per cell]  4 Fe 1.78


Number 1: calculated density 9.18 g/cm3. Number 2: calculated density 8.48 g/cm3. Number 3: calculated density 9.08 g/cm3. Number 4: calculated density 9.54 g/cm3. Number 5: calculated density 6.48 g/cm3. Number 6: calculated density 8.79 g/cm3. Number 7: calculated density 9.29 g/cm3. Number 8: calculated density 7.12 g/cm3. Number 9: calculated density 7.27 g/cm3. Number 10: calculated density 6.77 g/cm3. Number 11: calculated density 8.29 g/cm3. Number 12: calculated density 7.23 g/cm3.